Entry from Alexandria via LeMat-Bulk: SrLaAgGe after structural relaxation (PBE).

Cell lengths 7.6471, 7.6471, 7.6471 Å; angles 90.00, 90.00, 90.00 degrees
With the nearest neighbours (Å) after each atom.
Space group F-43m (No. 216)
Asymmetric unit:
Sr  0.0000  0.0000  0.0000 x4  4 Ag 3.31, 4 Ge 3.31
La  0.0000  0.0000  0.5000 x4  4 Ge 3.31, 4 Ag 3.31
Ag  0.2500  0.2500  0.7500 x4  4 La 3.31, 4 Sr 3.31
Ge  0.2500  0.2500  0.2500 x4  4 Sr 3.31, 4 La 3.31

Values from the calculation:
- formation enthalpy at 0 K (eV per atom) = -0.495
- calculated total energy (hartree per atom) = -0.148